Record 1
VASP calculation (meta-GGA SCAN) on a PBEsol-optimized structure of ZnPt2Pb.

Size of the total moment, μB/atom: 0.000
Space-group type: Pm, No. 6

```
ZnPt2Pb
1.0
3.0109 0.0000 -0.0159
0.0000 4.0831 0.0000
-1.4603 0.0000 5.9358
Pb Pt Zn
1 2 1
Cartesian
-0.5268 2.0416 4.6847 Pb
2.4460 0.0000 0.0205 Pt
2.4616 2.0416 1.9241 Pt
0.9561 0.0000 2.2346 Zn
```

---

Record 2
VASP calculation (meta-GGA SCAN) on a PBEsol-optimized structure of ZrPt2Pb.

Size of the total moment, μB/atom: 0.000
Space-group type: P4mm, No. 99

```
ZrPt2Pb
1.0
3.5062 0.0000 0.0000
0.0000 3.5062 0.0000
0.0000 0.0000 6.2680
Pb Pt Zr
1 2 1
Cartesian
1.7531 1.7531 4.9330 Pb
0.0000 0.0000 0.0799 Pt
1.7531 1.7531 1.6060 Pt
0.0000 0.0000 2.7832 Zr
```

---

Record 3
VASP calculation (meta-GGA SCAN) on a PBEsol-optimized structure of ZrPtPb2.

Polymorph energy (0 for the lowest one), eV/f.u.: 0.35
Size of the total moment, μB/atom: 0.000
Space-group type: Immm, No. 71

```
ZrPtPb2
1.0
-1.8779 -0.0835 2.9372
-3.0957 -3.3923 -2.0757
5.3904 -1.9829 1.3199
Pb Pt Zr
2 1 1
Cartesian
-1.2099 -3.3743 1.2006 Pb
1.6266 -2.0845 0.9807 Pb
-1.5478 -1.6962 -1.0379 Pt
-0.9390 -0.0418 1.4686 Zr
```

---

Record 4
VASP calculation (meta-GGA SCAN) on a PBEsol-optimized structure of ZrPt2Pb.

Size of the total moment, μB/atom: 0.000
Space-group type: Cm, No. 8

```
ZrPt2Pb
1.0
-0.9358 3.5150 -0.2728
-1.1651 -0.6637 -4.5541
-3.3780 -2.5966 2.5169
Pb Pt Zr
1 2 1
Cartesian
-2.6043 1.2007 0.0181 Pb
-5.4212 0.2727 -2.2758 Pt
-2.7411 -0.8953 -2.1328 Pt
-1.2415 1.3570 -2.6431 Zr
```

---

Record 5
VASP calculation (meta-GGA SCAN) on a PBEsol-optimized structure of ZrPt3Pb.

Size of the total moment, μB/atom: 0.000
Space-group type: Pm-3m, No. 221

```
ZrPt3Pb
1.0
-0.5403 -0.8488 -4.7948
-2.3399 -4.1854 1.0046
-4.2702 2.4009 0.0562
Pb Zr Pt
1 1 3
Cartesian
0.0000 0.0000 0.0000 Pb
-3.5752 -1.3167 -1.8670 Zr
-1.1700 -2.0927 0.5023 Pt
-2.1351 1.2004 0.0281 Pt
-0.2702 -0.4244 -2.3974 Pt
```

---

Record 6
VASP calculation (meta-GGA SCAN) on a PBEsol-optimized structure of Zr3PtPb.

Size of the total moment, μB/atom: 0.000
Space-group type: Pm-3m, No. 221

```
Zr3PtPb
1.0
5.2020 0.0000 0.0000
0.0000 5.2020 0.0000
0.0000 0.0000 5.2020
Pb Zr Pt
1 3 1
Cartesian
0.0000 0.0000 0.0000 Pb
0.0000 2.6010 0.0000 Zr
0.0000 0.0000 2.6010 Zr
2.6010 0.0000 0.0000 Zr
2.6010 2.6010 2.6010 Pt
```

---

Computed energy of formation, in the same sequence as the records: -0.18; -0.53; -0.13; -0.60; 0.91; 1.17 eV per atom.